# Zr2TcH6, optimized geometry, DFT PBE-GGA
# Raw total energy = -100.82 eV per cell
data_Zr2TcH6
_chemical_formula_sum 'Zr4 Tc2 H12'
_symmetry_space_group_name_H-M 'C 1 2/m 1'
_symmetry_Int_Tables_number 12
_cell_length_a 8.221
_cell_length_b 4.809
_cell_length_c 4.811
_cell_angle_alpha 90.00
_cell_angle_beta 125.44
_cell_angle_gamma 90.00
loop_
_symmetry_equiv_pos_as_xyz
'x,y,z'
'-x,-y,-z'
'-x,y,-z'
'x,-y,z'
'x+1/2,y+1/2,z'
'-x+1/2,-y+1/2,-z'
'-x+1/2,y+1/2,-z'
'x+1/2,-y+1/2,z'
loop_
_atom_site_label
_atom_site_fract_x
_atom_site_fract_y
_atom_site_fract_z
Zr1 0.250 0.000 0.248
Tc1 0.000 0.000 0.500
H1 0.000 0.261 0.238
H2 0.236 0.500 0.236